# 1
Here is MnIn2Ir after structural relaxation from Alexandria via LeMat-Bulk. Energies are from PBE.

Geometry as extended XYZ:
```
4
Lattice="-2.020 -2.542 -2.108 1.627 -2.290 1.202 -2.332 -2.789 5.598" Properties=species:S:1:pos:R:3 pbc="T T T"
In 1.610 -2.292 1.220
In -0.335 -2.538 3.382
Ir -1.186 -2.541 0.646
Mn -1.539 -5.081 4.046
```

Output
Space-group type: Pmmm (47)
DFT formation energy (eV per atom): 0.107

# 2
Here is Zr2Ni3 after structural relaxation from Alexandria via LeMat-Bulk. Energies are from PBE.

Geometry as extended XYZ:
```
10
Lattice="-5.016 0.100 1.195 0.794 -0.545 -5.067 -2.074 -6.449 -1.259" Properties=species:S:1:pos:R:3 pbc="T T T"
Ni -1.204 -1.521 -1.542
Ni -3.870 -5.245 -2.469
Ni -0.804 -2.246 -4.026
Ni -1.364 -4.843 -3.116
Ni -0.040 -0.004 -0.037
Ni -4.640 -3.290 -1.037
Zr -3.741 -0.743 -1.292
Zr -3.736 -6.277 -4.923
Zr -3.332 -2.982 -3.611
Zr -2.034 -3.815 -0.667
```

Output
Space-group type: Fdd2 (43)
Excess energy over the best structure of this formula in the dataset (meV per atom): 0
DFT formation energy (eV per atom): -0.411

# 3
Here is Hf2PaTiN4 after structural relaxation from Alexandria via LeMat-Bulk. Energies are from PBE.

Geometry as extended XYZ:
```
8
Lattice="-0.932 -1.995 -2.379 -2.568 -3.369 3.832 -5.272 1.697 0.642" Properties=species:S:1:pos:R:3 pbc="T T T"
Hf -5.272 1.697 0.642
Hf -3.102 -0.149 -0.868
Pa -3.920 -0.836 2.237
Ti -1.750 -2.682 0.727
N -5.918 -1.273 3.386
N -2.854 -2.395 -1.291
N -3.676 -3.187 1.905
N -5.096 -0.480 0.191
```

Output
Space-group type: P2/m (10)
Raw formation energy (eV/atom): -1.64

Summary of calculated density in g cm⁻³
11.270, 7.726, 11.758
(order as listed above)